[1]
# CePrIrPd, relaxed, DFT PBE
data_CePrIrPd
_symmetry_space_group_name_H-M 'A m m 2'
_symmetry_Int_Tables_number 38
_cell_length_a 4.150
_cell_length_b 3.910
_cell_length_c 11.703
_cell_angle_alpha 90.00
_cell_angle_beta 90.00
_cell_angle_gamma 90.00
loop_
_symmetry_equiv_pos_as_xyz
'x,y,z'
'-x,-y,z'
'-x,y,z'
'x,-y,z'
'x,y+1/2,z+1/2'
'-x,-y+1/2,z+1/2'
'-x,y+1/2,z+1/2'
'x,-y+1/2,z+1/2'
loop_
_atom_site_label
_atom_site_fract_x
_atom_site_fract_y
_atom_site_fract_z
_atom_site_occupancy
Ce1 0.000 0.000 0.000 1
Pr1 0.500 0.000 0.725 1
Ir1 0.500 0.000 0.469 1
Pd1 0.000 0.000 0.290 1
# **Uncorrected energy**: -55.6 eV/cell
# **Crystal system**: orthorhombic
# **Energy above the lowest structure with this stoichiometry**: 0.000 eV/atom



[2]
# CePrIrPd, relaxed, DFT PBE
data_CePrIrPd
_symmetry_space_group_name_H-M 'F -4 3 m'
_symmetry_Int_Tables_number 216
_symmetry_space_group_name_Hall 'F -4 2 3'
_cell_length_a 7.140
_cell_length_b 7.140
_cell_length_c 7.140
_cell_angle_alpha 90.00
_cell_angle_beta 90.00
_cell_angle_gamma 90.00
loop_
_atom_site_label
_atom_site_fract_x
_atom_site_fract_y
_atom_site_fract_z
_atom_site_occupancy
Ce1 0.000 0.000 0.000 1
Pr1 0.000 0.000 0.500 1
Ir1 0.250 0.250 0.750 1
Pd1 0.250 0.250 0.250 1
# **Uncorrected energy**: -109.3 eV/cell
# **Crystal system**: cubic
# **Energy above the lowest structure with this stoichiometry**: 0.119 eV/atom



[3]
# CePuIrPd, relaxed, DFT PBE
data_CePuIrPd
_symmetry_space_group_name_H-M 'A m m 2'
_symmetry_Int_Tables_number 38
_cell_length_a 4.196
_cell_length_b 3.922
_cell_length_c 10.896
_cell_angle_alpha 90.00
_cell_angle_beta 90.00
_cell_angle_gamma 90.00
loop_
_symmetry_equiv_pos_as_xyz
'x,y,z'
'-x,-y,z'
'-x,y,z'
'x,-y,z'
'x,y+1/2,z+1/2'
'-x,-y+1/2,z+1/2'
'-x,y+1/2,z+1/2'
'x,-y+1/2,z+1/2'
loop_
_atom_site_label
_atom_site_fract_x
_atom_site_fract_y
_atom_site_fract_z
_atom_site_occupancy
Ce1 0.000 0.000 0.000 1
Pu1 0.500 0.000 0.723 1
Ir1 0.000 0.000 0.257 1
Pd1 0.500 0.000 0.444 1
# **Uncorrected energy**: -73.5 eV/cell
# **Crystal system**: orthorhombic
# **Energy above the lowest structure with this stoichiometry**: 0.000 eV/atom



[4]
# CePuIrPd, relaxed, DFT PBE
data_CePuIrPd
_symmetry_space_group_name_H-M 'F -4 3 m'
_symmetry_Int_Tables_number 216
_symmetry_space_group_name_Hall 'F -4 2 3'
_cell_length_a 6.998
_cell_length_b 6.998
_cell_length_c 6.998
_cell_angle_alpha 90.00
_cell_angle_beta 90.00
_cell_angle_gamma 90.00
loop_
_atom_site_label
_atom_site_fract_x
_atom_site_fract_y
_atom_site_fract_z
_atom_site_occupancy
Ce1 0.000 0.000 0.000 1
Pu1 0.000 0.000 0.500 1
Ir1 0.250 0.250 0.250 1
Pd1 0.250 0.250 0.750 1
# **Uncorrected energy**: -146.4 eV/cell
# **Crystal system**: cubic
# **Energy above the lowest structure with this stoichiometry**: 0.034 eV/atom



[5]
# CeSi2IrPd2, relaxed, DFT PBE
data_CeSi2IrPd2
_symmetry_space_group_name_H-M 'P 4/m m m'
_symmetry_Int_Tables_number 123
_symmetry_space_group_name_Hall '-P 4 2'
_cell_length_a 4.612
_cell_length_b 4.612
_cell_length_c 5.511
_cell_angle_alpha 90.00
_cell_angle_beta 90.00
_cell_angle_gamma 90.00
loop_
_atom_site_label
_atom_site_fract_x
_atom_site_fract_y
_atom_site_fract_z
_atom_site_occupancy
Ce1 0.000 0.000 0.000 1
Si1 0.000 0.500 0.500 1
Ir1 0.000 0.000 0.500 1
Pd1 0.500 0.500 0.247 1
# **Uncorrected energy**: -38.6 eV/cell
# **Crystal system**: tetragonal
# **E_form (uncorrected)**: -42.1 kJ per mole of atoms



[6]
# Ce2Si3Ir4Pd, relaxed, DFT PBE
data_Ce2Si3Ir4Pd
_symmetry_space_group_name_H-M 'P -4 m 2'
_symmetry_Int_Tables_number 115
_cell_length_a 4.087
_cell_length_b 4.087
_cell_length_c 10.556
_cell_angle_alpha 90.00
_cell_angle_beta 90.00
_cell_angle_gamma 90.00
loop_
_symmetry_equiv_pos_as_xyz
'x,y,z'
'y,-x,-z'
'-x,-y,z'
'-y,x,-z'
'-x,y,z'
'-y,-x,-z'
'x,-y,z'
'y,x,-z'
loop_
_atom_site_label
_atom_site_fract_x
_atom_site_fract_y
_atom_site_fract_z
_atom_site_occupancy
Ce1 0.000 0.500 0.246 1
Si1 0.000 0.000 0.000 1
Si2 0.000 0.500 0.622 1
Ir1 0.000 0.000 0.500 1
Ir2 0.000 0.500 0.845 1
Ir3 0.500 0.500 0.500 1
Pd1 0.500 0.500 0.000 1
# **Uncorrected energy**: -77.7 eV/cell
# **Crystal system**: tetragonal
# **E_form (uncorrected)**: -86.0 kJ per mole of atoms



[7]
# CeSmIrPd, relaxed, DFT PBE
data_CeSmIrPd
_symmetry_space_group_name_H-M 'F -4 3 m'
_symmetry_Int_Tables_number 216
_symmetry_space_group_name_Hall 'F -4 2 3'
_cell_length_a 7.075
_cell_length_b 7.075
_cell_length_c 7.075
_cell_angle_alpha 90.00
_cell_angle_beta 90.00
_cell_angle_gamma 90.00
loop_
_atom_site_label
_atom_site_fract_x
_atom_site_fract_y
_atom_site_fract_z
_atom_site_occupancy
Ce1 0.000 0.000 0.000 1
Sm1 0.000 0.000 0.500 1
Ir1 0.250 0.250 0.250 1
Pd1 0.250 0.250 0.750 1
# **Uncorrected energy**: -109.9 eV/cell
# **Crystal system**: cubic
# **Energy above the lowest structure with this stoichiometry**: 0.110 eV/atom



[8]
# CeSmIrPd, relaxed, DFT PBE
data_CeSmIrPd
_symmetry_space_group_name_H-M 'A m m 2'
_symmetry_Int_Tables_number 38
_cell_length_a 4.154
_cell_length_b 3.867
_cell_length_c 11.471
_cell_angle_alpha 90.00
_cell_angle_beta 90.00
_cell_angle_gamma 90.00
loop_
_symmetry_equiv_pos_as_xyz
'x,y,z'
'-x,-y,z'
'-x,y,z'
'x,-y,z'
'x,y+1/2,z+1/2'
'-x,-y+1/2,z+1/2'
'-x,y+1/2,z+1/2'
'x,-y+1/2,z+1/2'
loop_
_atom_site_label
_atom_site_fract_x
_atom_site_fract_y
_atom_site_fract_z
_atom_site_occupancy
Ce1 0.000 0.000 0.000 1
Sm1 0.500 0.000 0.724 1
Ir1 0.500 0.000 0.467 1
Pd1 0.000 0.000 0.284 1
# **Uncorrected energy**: -55.8 eV/cell
# **Crystal system**: orthorhombic
# **Energy above the lowest structure with this stoichiometry**: 0.000 eV/atom



[9]
# CeSnIrPd, relaxed, DFT PBE
data_CeSnIrPd
_symmetry_space_group_name_H-M 'F -4 3 m'
_symmetry_Int_Tables_number 216
_symmetry_space_group_name_Hall 'F -4 2 3'
_cell_length_a 6.845
_cell_length_b 6.845
_cell_length_c 6.845
_cell_angle_alpha 90.00
_cell_angle_beta 90.00
_cell_angle_gamma 90.00
loop_
_atom_site_label
_atom_site_fract_x
_atom_site_fract_y
_atom_site_fract_z
_atom_site_occupancy
Ce1 0.000 0.000 0.000 1
Sn1 0.000 0.000 0.500 1
Ir1 0.250 0.250 0.250 1
Pd1 0.250 0.250 0.750 1
# **Uncorrected energy**: -105.5 eV/cell
# **Crystal system**: cubic



[10]
# SrCeIrPd, relaxed, DFT PBE
data_SrCeIrPd
_symmetry_space_group_name_H-M 'F -4 3 m'
_symmetry_Int_Tables_number 216
_symmetry_space_group_name_Hall 'F -4 2 3'
_cell_length_a 7.152
_cell_length_b 7.152
_cell_length_c 7.152
_cell_angle_alpha 90.00
_cell_angle_beta 90.00
_cell_angle_gamma 90.00
loop_
_atom_site_label
_atom_site_fract_x
_atom_site_fract_y
_atom_site_fract_z
_atom_site_occupancy
Sr1 0.000 0.000 0.000 1
Ce1 0.000 0.000 0.500 1
Ir1 0.250 0.250 0.250 1
Pd1 0.250 0.250 0.750 1
# **Uncorrected energy**: -93.9 eV/cell
# **Crystal system**: cubic